#P
## AcCu6 (PBE)

Data for AcCu6 after structural relaxation.

Unit cell a=5.341 b=8.187 c=10.295 alpha=90.00 beta=90.00 gamma=90.00
Positions (direct):
Ac 0.750 0.236 0.937
Ac 0.250 0.764 0.063
Ac 0.750 0.736 0.563
Ac 0.250 0.264 0.437
Cu 0.750 0.602 0.017
Cu 0.250 0.398 0.983
Cu 0.750 0.102 0.483
Cu 0.250 0.898 0.517
Cu 0.005 0.434 0.189
Cu 0.505 0.566 0.811
Cu 0.495 0.934 0.311
Cu 0.995 0.066 0.689
Cu 0.995 0.566 0.811
Cu 0.495 0.434 0.189
Cu 0.505 0.066 0.689
Cu 0.005 0.934 0.311
Cu 0.250 0.153 0.142
Cu 0.750 0.847 0.858
Cu 0.250 0.653 0.358
Cu 0.750 0.347 0.642
Cu 0.250 0.822 0.755
Cu 0.750 0.178 0.245
Cu 0.250 0.322 0.745
Cu 0.750 0.678 0.255
Cu 0.250 0.573 0.605
Cu 0.750 0.427 0.395
Cu 0.250 0.073 0.895
Cu 0.750 0.927 0.105

## Properties
The value obtained for the density of states at the Fermi level is 3.2 states/eV/f.u. The total magnetic moment comes out at 0.00 μB/f.u.

#Q
## AcCu6 (PBE)

Data for AcCu6 after structural relaxation.

Unit cell a=5.510 b=5.510 c=5.510 alpha=90.00 beta=90.00 gamma=90.00
Positions (direct):
Ac 0.000 0.000 0.000
Cu 0.197 0.500 0.500
Cu 0.500 0.500 0.803
Cu 0.500 0.500 0.197
Cu 0.500 0.197 0.500
Cu 0.500 0.803 0.500
Cu 0.803 0.500 0.500

## Properties
The value obtained for the density of states at the Fermi level is 5.0 states/eV/f.u. The total magnetic moment comes out at 0.00 μB/f.u.

Stability summary: most stable #P, least stable #Q.